An optimized crystal structure of LiPr2Er, computed with PBE.

* DOS(E_F): 5.74 states/eV/cell
* energy above the most stable polymorph in this dataset: 0.00 eV/f.u.
* energy of formation: 63 meV/atom

Lattice parameters (Å, degrees): 3.6669 3.6669 9.2343 90.00 90.00 90.00
Sites, in units of the cell vectors:
Pr: 0.0000 0.0000 0.7678
Pr: 0.0000 0.0000 0.2322
Li: 0.5000 0.5000 0.0000
Er: 0.5000 0.5000 0.5000